# 1
A relaxed structure of NdPaPdSe4, computed with PBE.

abc: 6.7619 6.4534 8.0679
angles: 90.00 106.84 90.00
Last column: nearest neighbours and their distance in Å.
Fractional coordinates of all 14 atoms:
Nd 0.2181 0.2500 0.0503  6 Se 2.88-3.11
Nd 0.7819 0.7500 0.9497  6 Se 2.88-3.11
Pa 0.2487 0.2500 0.5610  6 Se 2.82-3.01
Pa 0.7513 0.7500 0.4390  6 Se 2.82-3.01
Pd 0.2404 0.7500 0.3228  4 Se 2.46-2.51
Pd 0.7596 0.2500 0.6772  4 Se 2.46-2.51
Se 0.0347 0.5201 0.7399  1 Pd 2.49
Se 0.0347 0.9799 0.7399  1 Pd 2.49
Se 0.4512 0.7500 0.1121  1 Pd 2.51
Se 0.4582 0.7500 0.6263  1 Pd 2.46
Se 0.5418 0.2500 0.3737  1 Pd 2.46
Se 0.5488 0.2500 0.8879  1 Pd 2.51
Se 0.9653 0.0201 0.2601  1 Pd 2.49
Se 0.9653 0.4799 0.2601  1 Pd 2.49

Formation energy from raw total energies = -1.229 eV per atom

# 2
A relaxed structure of V2RhSe, computed with PBE.

abc: 5.4790 5.4790 5.4790
angles: 103.63 103.63 121.91
Last column: nearest neighbours and their distance in Å.
Fractional coordinates of all 8 atoms:
V 0.1176 0.6250 0.9926  2 Se 2.45, 2 Rh 2.52, 2 V 2.66
V 0.3750 0.3676 0.4926  2 Se 2.45, 2 Rh 2.52, 2 V 2.66
V 0.6324 0.1250 0.0074  2 Se 2.45, 2 Rh 2.52, 2 V 2.66
V 0.8750 0.8824 0.5074  2 Se 2.45, 2 Rh 2.52, 2 V 2.66
Rh 0.2500 0.7500 0.5000  4 V 2.52, 2 Se 2.66
Rh 0.5000 0.5000 0.0000  4 V 2.52, 2 Se 2.66
Se 0.0000 0.0000 0.0000  4 V 2.45, 2 Rh 2.66
Se 0.7500 0.2500 0.5000  4 V 2.45, 2 Rh 2.66

Formation energy from raw total energies = 0.053 eV per atom

Q: The highest formation energy from raw total energies belongs to which entry?
A: V2RhSe

Q: What is the formation energy from raw total energies in the second record?
A: 0.053 eV per atom

Q: The lowest formation energy from raw total energies belongs to which entry?
A: NdPaPdSe4

Q: The highest formation energy from raw total energies belongs to which entry?
A: V2RhSe